<one>
TaCoTc2 | PBE | relaxed

Lattice parameters (Å, degrees): 4.2563 2.6979 5.1922 77.70 90.00 90.00
Atoms (fractional coordinates):
1 Ta 0.5000 0.7256 0.7394
2 Tc 0.0000 0.9417 0.0078
3 Co 0.0000 0.6011 0.5049
4 Tc 0.5000 0.2316 0.2478

Output
DOS at the Fermi energy = 4.6 states/eV/f.u.

<two>
TaCoTc2 | PBE | relaxed

Lattice parameters (Å, degrees): 3.8047 3.7725 5.5102 46.72 90.00 90.00
Atoms (fractional coordinates):
1 Ta 0.0000 0.0000 0.5000
2 Tc 0.0000 0.0000 0.0000
3 Co 0.5000 0.5000 0.5000
4 Tc 0.5000 0.5000 0.0000

Output
DOS at the Fermi energy = 5.3 states/eV/f.u.

<three>
TaCoTc2 | PBE | relaxed

Lattice parameters (Å, degrees): 3.1845 3.1845 5.7348 90.00 90.00 90.00
Atoms (fractional coordinates):
1 Ta 0.5000 0.5000 0.7246
2 Co 0.0000 0.0000 0.5104
3 Tc 0.5000 0.5000 0.2505
4 Tc 0.0000 0.0000 0.0145

Output
DOS at the Fermi energy = 5.6 states/eV/f.u.

<four>
TaCoTc2 | PBE | relaxed

Lattice parameters (Å, degrees): 4.7153 4.7153 4.6991 79.56 79.56 34.52
Atoms (fractional coordinates):
1 Ta 0.2409 0.2409 0.2699
2 Tc 0.7593 0.7593 0.7510
3 Tc 0.0041 0.0041 0.9775
4 Co 0.4957 0.4957 0.5016

Output
DOS at the Fermi energy = 4.7 states/eV/f.u.

<two> has the most favorable energy; the next structure is 41 meV per atom above.